# 1
Here is an optimized crystal structure of Ce4Ge2SeS from Alexandria. Energies are from PBE. Values from VASP.

Geometry as Quantum ESPRESSO input:
```
&SYSTEM
  ibrav = 0, nat = 8, ntyp = 4
/
ATOMIC_SPECIES
Ce 140.12 Ce.upf
Ge 72.64 Ge.upf
Se 78.96 Se.upf
S 32.06 S.upf
CELL_PARAMETERS angstrom
4.201 0.000 0.000
0.000 7.202 -0.116
0.000 2.560 6.816
ATOMIC_POSITIONS angstrom
Ce 2.100 3.734 5.040
Ge 0.000 2.560 6.816
Ce 0.000 7.305 4.992
Se 2.100 3.601 -0.058
Ce 4.201 2.457 1.708
Ge 2.100 1.280 3.408
Ce 2.100 6.028 1.661
S 0.000 4.881 3.350
```

**Density of states at the Fermi level**: 2.354 states/eV per atom
**V**: 25.932 A^3/atom
**Formation energy from raw total energies**: -1322.8 meV/atom
**Space-group type**: P2/m, No. 10

***

# 2
Here is an optimized crystal structure of YBeS2 from Alexandria. Energies are from PBE. Values from VASP.

Geometry as Quantum ESPRESSO input:
```
&SYSTEM
  ibrav = 0, nat = 8, ntyp = 3
/
ATOMIC_SPECIES
Y 88.91 Y.upf
Be 9.01 Be.upf
S 32.06 S.upf
CELL_PARAMETERS angstrom
6.365 0.000 0.000
0.000 6.365 0.000
3.183 3.183 3.505
ATOMIC_POSITIONS angstrom
Y 0.000 0.000 0.000
Y 6.365 3.183 1.753
Be 3.183 6.365 1.753
S 7.956 7.417 2.629
Be 3.183 3.183 0.000
S 4.774 5.313 2.629
S 2.130 4.774 0.876
S 4.235 1.591 0.876
```

**Density of states at the Fermi level**: 0.164 states/eV per atom
**V**: 17.752 A^3/atom
**Formation energy from raw total energies**: -1205.3 meV/atom
**Space-group type**: I-42d, No. 122

***

# 3
Here is an optimized crystal structure of SmTm12Sc6 from Alexandria. Energies are from PBE. Values from VASP.

Geometry as Quantum ESPRESSO input:
```
&SYSTEM
  ibrav = 0, nat = 19, ntyp = 3
/
ATOMIC_SPECIES
Tm 168.93 Tm.upf
Sm 150.36 Sm.upf
Sc 44.96 Sc.upf
CELL_PARAMETERS angstrom
-2.446 7.428 -3.211
-7.625 -3.647 0.179
0.238 2.371 8.111
ATOMIC_POSITIONS angstrom
Tm -5.123 3.913 4.959
Tm -2.501 3.930 2.348
Sm 0.000 0.000 0.000
Tm -3.908 1.177 6.791
Tm -2.972 7.235 1.267
Tm -4.710 2.239 0.120
Sc -3.201 5.207 -0.777
Sc -6.632 0.945 5.857
Tm -7.331 2.222 2.731
Sc -1.743 2.459 5.374
Sc -8.090 3.693 -0.294
Tm -5.925 4.975 -1.712
Tm -6.861 -1.083 3.813
Tm -1.964 5.336 5.519
Sc -6.015 -0.810 1.064
Sc -3.818 6.962 4.015
Tm -5.877 5.334 1.779
Tm -3.956 0.818 3.301
Tm -7.869 0.816 -0.439
```

**Formation energy**: 0.401 eV per atom
**Density of states at the Fermi level**: 1.279 states/eV per atom
**V**: 30.966 A^3/atom
**Offset from the most stable computed form**: 0 meV per atom
**Space-group type**: R-3m, No. 166

***

# 4
Here is an optimized crystal structure of Cd2Ru from Alexandria. Energies are from PBE. Values from VASP.

Geometry as Quantum ESPRESSO input:
```
&SYSTEM
  ibrav = 0, nat = 6, ntyp = 2
/
ATOMIC_SPECIES
Cd 112.41 Cd.upf
Ru 101.07 Ru.upf
CELL_PARAMETERS angstrom
-1.466 1.466 13.392
1.466 -1.466 13.392
1.466 1.466 -13.392
ATOMIC_POSITIONS angstrom
Cd 1.466 0.000 4.686
Cd 0.000 0.000 15.401
Ru 0.000 0.000 0.000
Ru 0.000 1.466 6.696
Cd 1.466 0.000 8.706
Cd 0.000 0.000 11.382
```

**Formation energy**: 0.327 eV per atom
**Density of states at the Fermi level**: 0.673 states/eV per atom
**V**: 19.182 A^3/atom
**Space-group type**: I4_1/amd, No. 141

***

# 5
Here is an optimized crystal structure of MgAsS2 from Alexandria. Energies are from PBE. Values from VASP.

Geometry as Quantum ESPRESSO input:
```
&SYSTEM
  ibrav = 0, nat = 4, ntyp = 3
/
ATOMIC_SPECIES
S 32.06 S.upf
As 74.92 As.upf
Mg 24.30 Mg.upf
CELL_PARAMETERS angstrom
-6.548 -3.818 -1.594
-4.857 -5.961 0.934
-6.843 -3.011 2.025
ATOMIC_POSITIONS angstrom
S -1.916 -1.343 0.143
As 0.000 0.000 0.000
Mg -9.124 -6.395 0.683
S -16.332 -11.447 1.222
```

**Density of states at the Fermi level**: 0.397 states/eV per atom
**V**: 22.290 A^3/atom
**Formation energy from raw total energies**: -350.8 meV/atom
**Offset from the most stable computed form**: 8 meV per atom
**Space-group type**: R-3m, No. 166

***

# 6
Here is an optimized crystal structure of RbNiPt from Alexandria. Energies are from PBE. Values from VASP.

Geometry as Quantum ESPRESSO input:
```
&SYSTEM
  ibrav = 0, nat = 6, ntyp = 3
/
ATOMIC_SPECIES
Pt 195.08 Pt.upf
Ni 58.69 Ni.upf
Rb 85.47 Rb.upf
CELL_PARAMETERS angstrom
-3.549 2.567 -0.943
0.774 -0.752 -4.956
-1.843 -6.001 1.231
ATOMIC_POSITIONS angstrom
Pt -1.243 0.090 -0.623
Ni -0.903 -0.331 -3.042
Rb -1.000 -3.667 -1.162
Rb -2.523 -2.944 -4.099
Pt -2.585 0.647 -4.698
Ni -2.751 1.298 -2.300
```

**Formation energy**: 0.038 eV per atom
**Density of states at the Fermi level**: 1.059 states/eV per atom
**V**: 22.584 A^3/atom
**Offset from the most stable computed form**: 2 meV per atom
**Space-group type**: P1, No. 1

***

What did the fourth record say?
Here is an optimized crystal structure of Cd2Ru from Alexandria. Energies are from PBE. Values from VASP.

Geometry as Quantum ESPRESSO input:
```
&SYSTEM
  ibrav = 0, nat = 6, ntyp = 2
/
ATOMIC_SPECIES
Cd 112.41 Cd.upf
Ru 101.07 Ru.upf
CELL_PARAMETERS angstrom
-1.466 1.466 13.392
1.466 -1.466 13.392
1.466 1.466 -13.392
ATOMIC_POSITIONS angstrom
Cd 1.466 0.000 4.686
Cd 0.000 0.000 15.401
Ru 0.000 0.000 0.000
Ru 0.000 1.466 6.696
Cd 1.466 0.000 8.706
Cd 0.000 0.000 11.382
```

**Formation energy**: 0.327 eV per atom
**Density of states at the Fermi level**: 0.673 states/eV per atom
**V**: 19.182 A^3/atom
**Space-group type**: I4_1/amd, No. 141